Record 1
Here is Tb2Nd3Tl6 after structural relaxation from the Alexandria database. Energies are from PBE.

Summary:
**Space-group type**: No. 139
**M_tot**: 0.000 μB/atom
**DOS at the Fermi energy**: 9.7 states/eV/f.u.
**Electronic total energy**: -38.97 eV for the cell shown

Lattice parameters (Å, degrees): 15.0641 15.0641 15.0641 161.46 161.46 26.33
Last column: nearest neighbours and their distance in Å.
Atoms (fractional coordinates):
Tb: 0.0541 0.0541 0.0000  4 Tl 3.06, 1 Tb 3.17
Tb: 0.9459 0.9459 0.0000  4 Tl 3.06, 1 Tb 3.17
Nd: 0.3011 0.3011 0.0000  9 Tl 3.16-3.43
Nd: 0.5000 0.5000 0.0000  8 Tb 3.78, 8 Tl 4.22
Nd: 0.6989 0.6989 0.0000  9 Tl 3.16-3.43
Tl: 0.1175 0.6175 0.5000  2 Tb 3.06, 2 Tl 3.29, 2 Nd 3.40
Tl: 0.1935 0.1935 0.0000  5 Nd 3.16-3.43, 4 Tl 3.29
Tl: 0.3825 0.8825 0.5000  2 Tb 3.06, 2 Tl 3.29, 2 Nd 3.40
Tl: 0.6175 0.1175 0.5000  2 Tb 3.06, 2 Tl 3.29, 2 Nd 3.40
Tl: 0.8065 0.8065 0.0000  5 Nd 3.16-3.43, 4 Tl 3.29
Tl: 0.8825 0.3825 0.5000  2 Tb 3.06, 2 Tl 3.29, 2 Nd 3.40

---

Record 2
Here is TbNd5Tl5 after structural relaxation from the Alexandria database. Energies are from PBE.

Summary:
**Space-group type**: No. 12
**M_tot**: 0.029 μB/atom
**DOS at the Fermi energy**: 13.1 states/eV/f.u.
**Electronic total energy**: -42.09 eV for the cell shown

Lattice parameters (Å, degrees): 9.5352 9.5352 7.1761 111.69 111.69 35.73
Last column: nearest neighbours and their distance in Å.
Atoms (fractional coordinates):
Tb: 0.0000 0.0000 0.0000  6 Tl 2.93-3.16
Nd: 0.0000 0.0000 0.5000  4 Tl 3.33-3.35, 2 Tb 3.59, 4 Nd 3.72
Nd: 0.3110 0.3110 0.8073  7 Tl 3.16-3.39
Nd: 0.3625 0.3625 0.3573  6 Tl 3.53-3.74, 4 Nd 3.69-3.72
Nd: 0.6375 0.6375 0.6427  6 Tl 3.53-3.74, 4 Nd 3.69-3.72
Nd: 0.6890 0.6890 0.1927  7 Tl 3.16-3.39
Tl: 0.1615 0.1615 0.3882  1 Tb 3.16, 4 Nd 3.17-3.36, 1 Tl 3.25
Tl: 0.1618 0.1618 0.9351  1 Tb 3.15, 4 Nd 3.18-3.39, 1 Tl 3.25
Tl: 0.5000 0.5000 0.0000  2 Tb 2.93, 2 Nd 3.16
Tl: 0.8382 0.8382 0.0649  1 Tb 3.15, 4 Nd 3.18-3.39, 1 Tl 3.25
Tl: 0.8385 0.8385 0.6118  1 Tb 3.16, 4 Nd 3.17-3.36, 1 Tl 3.25

---

Formation energy from the elements values, unit eV/atom, following the record order: -0.1099, -0.1625.